This record from the Alexandria database describes crystalline TaPbIO2 at its relaxed geometry. The functional is PBE.

Computed properties:
- formation energy (no corrections) (eV per atom) = 0.703
- energy above the lowest structure with this stoichiometry (meV per atom) = 1551.8

Cell lengths 4.3094, 4.3094, 6.0911 Å; angles 90.00, 90.00, 90.00 degrees
Fractional coordinates of all 5 atoms:
Ta  0.0000  0.0000  0.0000
Pb  0.5000  0.5000  0.5000
I  0.5000  0.5000  0.0000
O  0.0000  0.5000  0.5000
O  0.5000  0.0000  0.5000